Computed, not measured: a relaxed Fe2RuRh crystal at the PBEsol level of DFT.

```
4
Lattice="4.181 0.000 0.000 0.000 4.181 0.000 0.000 0.000 2.905" Properties=species:S:1:pos:R:3 pbc="T T T"
Fe 0.000 2.090 0.000
Fe 2.090 0.000 0.000
Ru 0.000 0.000 1.452
Rh 2.090 2.090 1.452
```

ΔH_f (0 K)	0.18	eV/atom
spin magnetization	7.40	μB/f.u.

---

Computed, not measured: a relaxed Sr2LiAs crystal at the PBEsol level of DFT.

```
8
Lattice="-4.366 4.366 3.755 4.366 -4.366 3.755 4.366 4.366 -3.755" Properties=species:S:1:pos:R:3 pbc="T T T"
Sr 6.549 1.755 -0.939
Sr 1.755 2.183 0.939
Sr -2.183 2.611 2.816
Sr 2.611 2.183 4.694
Li 4.366 0.000 1.877
Li 0.000 0.000 3.755
As 0.000 0.000 0.000
As 0.000 4.366 1.877
```

ΔH_f (0 K)	-0.33	eV/atom
spin magnetization	0.00	μB/f.u.

---

Computed, not measured: a relaxed ReTcP2 crystal at the PBEsol level of DFT.

```
4
Lattice="2.805 0.000 0.000 0.000 3.707 0.000 0.000 0.000 5.045" Properties=species:S:1:pos:R:3 pbc="T T T"
Re 0.000 0.000 0.000
Tc 1.403 1.854 1.802
P 0.000 0.000 2.587
P 1.403 1.854 4.235
```

ΔH_f (0 K)	-0.27	eV/atom
spin magnetization	0.00	μB/f.u.
energy above the lowest structure with this stoichiometry	0	meV per atom

---

Computed, not measured: a relaxed TaW crystal at the PBEsol level of DFT.

```
2
Lattice="1.603 -2.281 0.000 1.603 2.281 0.000 0.000 0.000 4.504" Properties=species:S:1:pos:R:3 pbc="T T T"
Ta 0.000 0.000 0.000
W 1.603 0.000 2.252
```

ΔH_f (0 K)	-0.06	eV/atom
spin magnetization	0.00	μB/f.u.

---

Computed, not measured: a relaxed Cs2KTiO2F3 crystal at the PBEsol level of DFT.

```
9
Lattice="0.000 4.560 4.902 4.177 0.000 4.902 4.177 4.560 0.000" Properties=species:S:1:pos:R:3 pbc="T T T"
Cs 2.089 2.280 0.000
Cs 2.089 2.280 4.902
K 4.177 4.560 2.187
Ti 4.177 4.560 7.427
O 5.660 4.560 6.501
O 2.694 4.560 6.501
F 4.177 2.004 2.788
F 4.177 7.116 2.788
F 4.177 4.560 9.405
```

spin magnetization	0.00	μB/f.u.
uncorrected formation energy	-2.748	eV/atom

---

Computed, not measured: a relaxed Li4Mn crystal at the PBEsol level of DFT.

```
5
Lattice="-1.815 1.815 6.733 1.815 -1.815 6.733 1.815 1.815 -6.733" Properties=species:S:1:pos:R:3 pbc="T T T"
Li 0.000 0.000 1.250
Li 1.815 0.000 3.366
Li 0.000 1.815 3.366
Li 0.000 0.000 12.216
Mn 0.000 0.000 6.733
```

ΔH_f (0 K)	0.49	eV/atom
spin magnetization	4.05	μB/f.u.

---

Computed, not measured: a relaxed LaScRe crystal at the PBEsol level of DFT.

```
3
Lattice="0.000 3.301 3.301 3.301 0.000 3.301 3.301 3.301 0.000" Properties=species:S:1:pos:R:3 pbc="T T T"
La 0.000 0.000 0.000
Sc 3.301 3.301 3.301
Re 4.952 4.952 4.952
```

ΔH_f (0 K)	0.32	eV/atom
spin magnetization	0.00	μB/f.u.

---

Computed, not measured: a relaxed Te2RuS crystal at the PBEsol level of DFT.

```
8
Lattice="-3.398 3.398 4.345 3.398 -3.398 4.345 3.398 3.398 -4.345" Properties=species:S:1:pos:R:3 pbc="T T T"
Te 1.699 1.465 -1.086
Te 1.932 -1.699 5.431
Te 1.699 1.932 3.258
Te 1.465 5.097 1.086
Ru 0.000 0.000 0.000
Ru 0.000 3.398 2.172
S 3.398 0.000 2.172
S 0.000 0.000 4.345
```

spin magnetization	0.00	μB/f.u.
uncorrected formation energy	0.355	eV/atom

---

Computed, not measured: a relaxed SrCuRh crystal at the PBEsol level of DFT.

```
3
Lattice="4.132 0.000 0.000 -2.066 3.579 0.000 0.000 0.000 4.316" Properties=species:S:1:pos:R:3 pbc="T T T"
Sr 0.000 0.000 0.000
Cu 0.000 2.386 2.158
Rh 2.066 1.193 2.158
```

ΔH_f (0 K)	-0.02	eV/atom
spin magnetization	0.00	μB/f.u.
energy above the lowest structure with this stoichiometry	0	meV per atom

---

Computed, not measured: a relaxed La5Al3Ni2 crystal at the PBEsol level of DFT.

```
20
Lattice="7.054 -3.386 0.000 7.054 3.386 0.000 0.000 0.000 10.231" Properties=species:S:1:pos:R:3 pbc="T T T"
La 3.973 1.683 2.558
La 7.054 2.655 7.673
La 5.287 0.000 0.000
La 5.287 0.000 5.116
La 10.135 1.683 2.558
La 3.973 -1.683 7.673
La 8.821 0.000 0.000
La 8.821 0.000 5.116
La 7.054 -2.655 2.558
La 10.135 -1.683 7.673
Al 2.083 0.000 0.000
Al 2.083 0.000 5.116
Al 7.054 0.798 2.558
Al 7.054 -0.798 7.673
Al 12.025 0.000 0.000
Al 12.025 0.000 5.116
Ni 7.054 2.216 0.591
Ni 7.054 2.216 4.524
Ni 7.054 -2.216 5.707
Ni 7.054 -2.216 9.640
```

ΔH_f (0 K)	-0.38	eV/atom
spin magnetization	0.00	μB/f.u.

---

Computed, not measured: a relaxed SiNiIO2 crystal at the PBEsol level of DFT.

```
5
Lattice="3.427 0.000 0.000 0.000 3.427 0.000 0.000 0.000 6.214" Properties=species:S:1:pos:R:3 pbc="T T T"
Si 0.000 0.000 0.000
Ni 1.714 1.714 3.107
I 0.000 0.000 3.107
O 0.000 1.714 0.000
O 1.714 0.000 0.000
```

spin magnetization	0.00	μB/f.u.
uncorrected formation energy	-0.816	eV/atom

---

Computed, not measured: a relaxed GaNiIrBr2 crystal at the PBEsol level of DFT.

```
5
Lattice="4.720 0.000 0.000 0.000 4.720 0.000 0.000 0.000 4.715" Properties=species:S:1:pos:R:3 pbc="T T T"
Ga 0.000 0.000 0.000
Ni 2.360 2.360 2.358
Ir 2.360 2.360 0.000
Br 0.000 2.360 2.358
Br 2.360 0.000 2.358
```

spin magnetization	1.75	μB/f.u.
uncorrected formation energy	0.742	eV/atom